Here is a relaxed Ce7Ge2Pt2 crystal from Alexandria via LeMat-Bulk. Energies are from GGA-PBE.

a = 6.728 Å, b = 6.728 Å, c = 6.692 Å
α = 90.00°, β = 90.00°, γ = 105.00°
Positions (direct):
Ce 0.000 0.000 0.000
Ce 0.000 0.500 0.294
Ce 0.000 0.500 0.706
Ce 0.500 0.000 0.294
Ce 0.500 0.000 0.706
Ce 0.500 0.500 0.295
Ce 0.500 0.500 0.705
Ge 0.157 0.157 0.500
Ge 0.843 0.843 0.500
Pt 0.286 0.714 0.000
Pt 0.714 0.286 0.000

Output
* symmetry: Cmmm
* magnetization: 3.77 μB per formula unit
* DFT total energy: -0.229 hartree per atom
* energy above the most stable polymorph in this dataset: 108 meV per atom
* formation energy from the elements: -5.76 eV per formula unit